Material: LiSm2MnO5
Method: DFT, PBE with a Hubbard U
State: relaxed

Unit cell a=7.0785 b=7.0785 c=9.1247 alpha=90.00 beta=90.00 gamma=152.14
Last column: nearest neighbours and their distance in Å.
Positions (direct):
Li 0.2251 0.7749 0.5000  1 O 1.81
Li 0.7749 0.2251 0.0000  1 O 1.81
Sm 0.1173 0.8827 0.8122  8 O 2.42-2.57
Sm 0.1290 0.8710 0.1889  8 O 2.38-2.64
Sm 0.8710 0.1290 0.6889  8 O 2.38-2.64
Sm 0.8827 0.1173 0.3122  8 O 2.42-2.57
Mn 0.4181 0.5819 0.9922  5 O 1.94-2.09
Mn 0.5819 0.4181 0.4922  5 O 1.94-2.09
O 0.0295 0.9705 0.5639  2 Mn 1.96
O 0.2990 0.7010 0.8501  1 Mn 2.09, 2 Li 2.21
O 0.3194 0.6806 0.1496  1 Mn 1.98
O 0.3570 0.6430 0.5087  1 Li 1.81
O 0.4864 0.5136 0.8065  1 Mn 1.94
O 0.5136 0.4864 0.3065  1 Mn 1.94
O 0.6430 0.3570 0.0087  1 Li 1.81
O 0.6806 0.3194 0.6496  1 Mn 1.98
O 0.7010 0.2990 0.3501  1 Mn 2.09, 2 Li 2.21
O 0.9705 0.0295 0.0639  2 Mn 1.96

Summary:
total energy: -134.62 eV/cell
volume: 213.7 Å³ per cell
symmetry: Cmc2_1 (36)